# Na2CaVF8, relaxed, DFT PBE with a Hubbard U
# - Calculated volume: 14.8 Å³/atom
# - Raw total energy: -63.6 eV for the cell shown
# - DOS at the Fermi energy: 0.0 states/eV/cell
data_Na2CaVF8
_chemical_formula_sum 'Na2 Ca1 V1 F8'
_cell_length_a 4.994
_cell_length_b 6.891
_cell_length_c 5.172
_cell_angle_alpha 90.00
_cell_angle_beta 90.44
_cell_angle_gamma 90.00
_space_group_name_H-M_alt 'P 1 2/m 1'
_space_group_IT_number 10
loop_
_space_group_symop_operation_xyz
'x,y,z'
'-x,-y,-z'
'-x,y,-z'
'x,-y,z'
loop_
_atom_site_label
_atom_site_fract_x
_atom_site_fract_y
_atom_site_fract_z
Na1 0.000 0.244 0.000
Ca1 0.500 0.000 0.500
V1 0.500 0.500 0.500
F1 0.197 0.000 0.205
F2 0.240 0.500 0.246
F3 0.319 0.296 0.677